# 1
# Pr3Dy12Tm (PBE, optimized geometry)
# - E_form: 0.02 eV/atom
# - N(E_F): 22.271 states/eV per cell
data_Pr3Dy12Tm
_chemical_formula_sum 'Pr3 Dy12 Tm1'
_space_group_name_H-M_alt 'P 4/m m m'
_space_group_IT_number 123
_space_group_name_Hall '-P 4 2'
_cell_length_a 5.049
_cell_length_b 5.049
_cell_length_c 20.194
_cell_angle_alpha 90.00
_cell_angle_beta 90.00
_cell_angle_gamma 90.00
loop_
_atom_site_label
_atom_site_type_symbol
_atom_site_fract_x
_atom_site_fract_y
_atom_site_fract_z
Pr1 Pr 0.000 0.000 0.000
Pr2 Pr 0.000 0.000 0.251
Dy1 Dy 0.000 0.500 0.126
Dy2 Dy 0.000 0.500 0.378
Dy3 Dy 0.500 0.500 0.000
Dy4 Dy 0.500 0.500 0.252
Dy5 Dy 0.500 0.500 0.500
Tm1 Tm 0.000 0.000 0.500


# 2
# KTl2BC (PBE, optimized geometry)
# - E_form: 2.67 eV/atom
# - N(E_F): 3.301 states/eV per cell
data_KTl2BC
_chemical_formula_sum 'K1 Tl2 B1 C1'
_space_group_name_H-M_alt 'P 4/m m m'
_space_group_IT_number 123
_space_group_name_Hall '-P 4 2'
_cell_length_a 6.435
_cell_length_b 6.435
_cell_length_c 5.086
_cell_angle_alpha 90.00
_cell_angle_beta 90.00
_cell_angle_gamma 90.00
loop_
_atom_site_label
_atom_site_type_symbol
_atom_site_fract_x
_atom_site_fract_y
_atom_site_fract_z
K1 K 0.000 0.000 0.000
Tl1 Tl 0.000 0.500 0.000
B1 B 0.000 0.000 0.500
C1 C 0.500 0.500 0.500


# 3
# AlTlCuF6 (PBE, optimized geometry)
# - Formation energy (no corrections): -2489 meV per atom
# - N(E_F): 6.446 states/eV per cell
data_AlTlCuF6
_chemical_formula_sum 'Al1 Tl1 Cu1 F6'
_space_group_name_H-M_alt 'P 3 1 2'
_space_group_IT_number 149
_cell_length_a 5.2473
_cell_length_b 5.2473
_cell_length_c 6.0509
_cell_angle_alpha 90.00
_cell_angle_beta 90.00
_cell_angle_gamma 120.00
loop_
_space_group_symop_operation_xyz
'x,y,z'
'-y,x-y,z'
'-x+y,-x,z'
'-y,-x,-z'
'-x+y,y,-z'
'x,x-y,-z'
loop_
_atom_site_label
_atom_site_type_symbol
_atom_site_fract_x
_atom_site_fract_y
_atom_site_fract_z
Al1 Al 0.0000 0.0000 0.0000
Tl1 Tl 0.3333 0.6667 0.5000
Cu1 Cu 0.6667 0.3333 0.0000
F1 F 0.3025 0.0308 0.1733